Entry 1:
K8Rb2In | GGA-PBE | optimized geometry

Calculated values
Its density of states at the Fermi level is 0.75 states/eV per atom. The value obtained for the formation enthalpy at 0 K is 30 meV per atom. The symmetry is C2/m, No. 12. Its raw total energy is -1.194 eV/atom. As for the total magnetic moment: 0.00 Bohr magnetons per cell.

a = 15.9421 Å, b = 8.4781 Å, c = 8.4781 Å
α = 70.14°, β = 55.28°, γ = 55.28°
Fractional positions:
Rb1 0.5664 0.1085 0.1085
K1 0.3179 0.5733 0.5733
K2 0.9568 0.7736 0.7736
K3 0.6821 0.4267 0.4267
K4 0.7988 0.4036 0.8507
K5 0.7988 0.8507 0.4036
K6 0.2013 0.1493 0.5964
K7 0.2013 0.5964 0.1493
K8 0.0432 0.2264 0.2264
Rb2 0.4336 0.8915 0.8915
In1 0.0000 0.0000 0.0000

=====

Entry 2:
K3RbIn | GGA-PBE | optimized geometry

Calculated values
Its density of states at the Fermi level is 0.87 states/eV per atom. The value obtained for the formation enthalpy at 0 K is 70 meV per atom. As for the offset from the most stable computed form: 0.0820 eV/atom. The symmetry is Pm-3m, No. 221. Its raw total energy is -1.329 eV/atom. As for the total magnetic moment: 0.00 Bohr magnetons per cell.

a = 6.9940 Å, b = 6.9940 Å, c = 6.9940 Å
α = 90.00°, β = 90.00°, γ = 90.00°
Fractional positions:
K1 0.0000 0.5000 0.0000
Rb1 0.5000 0.5000 0.5000
In1 0.0000 0.0000 0.0000
K2 0.5000 0.0000 0.0000
K3 0.0000 0.0000 0.5000

=====

Entry 3:
K3RbIn | GGA-PBE | optimized geometry

Calculated values
Its density of states at the Fermi level is 0.78 states/eV per atom. The value obtained for the formation enthalpy at 0 K is -5 meV per atom. As for the offset from the most stable computed form: 0.0061 eV/atom. The symmetry is Ama2, No. 40. Its raw total energy is -1.405 eV/atom. As for the total magnetic moment: 0.00 Bohr magnetons per cell.

a = 5.1099 Å, b = 9.4460 Å, c = 14.4903 Å
α = 109.02°, β = 90.00°, γ = 90.00°
Fractional positions:
K1 0.2500 0.6514 0.3347
K2 0.2500 0.6689 0.8579
In1 0.7500 0.4546 0.9450
Rb1 0.2500 0.1317 0.8529
Rb2 0.7500 0.2788 0.1471
K3 0.7500 0.3167 0.6653
K4 0.7500 0.7674 0.5991
K5 0.2500 0.1683 0.4009
In2 0.2500 0.5095 0.0550
K6 0.7500 0.8110 0.1421

=====

Entry 4:
K3Rb2In | GGA-PBE | optimized geometry

Calculated values
Its density of states at the Fermi level is 0.71 states/eV per atom. The value obtained for the formation enthalpy at 0 K is 15 meV per atom. The symmetry is P-1, No. 2. Its raw total energy is -1.312 eV/atom. As for the total magnetic moment: 0.00 Bohr magnetons per cell.

a = 7.5216 Å, b = 9.3327 Å, c = 12.5605 Å
α = 87.25°, β = 83.36°, γ = 66.37°
Fractional positions:
K1 0.5083 0.9919 0.8213
K2 0.6911 0.4162 0.8444
K3 0.3089 0.5838 0.1556
In1 0.1668 0.3492 0.9799
Rb1 0.0000 0.0000 0.5000
Rb2 0.3457 0.3142 0.4960
In2 0.8332 0.6508 0.0201
Rb3 0.6543 0.6858 0.5040
K4 0.4917 0.0081 0.1787
Rb4 0.0000 0.0000 0.0000
K5 0.1173 0.6344 0.7616
K6 0.8827 0.3656 0.2384

=====

Entry 5:
K6Rb2In | GGA-PBE | optimized geometry

Calculated values
Its density of states at the Fermi level is 0.84 states/eV per atom. The value obtained for the formation enthalpy at 0 K is 18 meV per atom. The symmetry is C2/c, No. 15. Its raw total energy is -1.233 eV/atom. As for the total magnetic moment: 0.00 Bohr magnetons per cell.

a = 11.1318 Å, b = 11.1318 Å, c = 10.7802 Å
α = 86.20°, β = 86.20°, γ = 110.24°
Fractional positions:
K1 0.6079 0.0082 0.8094
K2 0.3921 0.9918 0.1906
Rb1 0.6702 0.3998 0.0177
K3 0.8236 0.0612 0.4454
K4 0.0612 0.8236 0.9454
In1 0.0464 0.9536 0.2500
K5 0.9918 0.3921 0.6906
K6 0.2226 0.2897 0.3266
Rb2 0.3298 0.6002 0.9823
K7 0.7774 0.7103 0.6734
K8 0.2897 0.2226 0.8266
Rb3 0.3998 0.6702 0.5177
K9 0.9388 0.1764 0.0546
In2 0.9536 0.0464 0.7500
K10 0.7103 0.7774 0.1734
K11 0.1764 0.9388 0.5546
K12 0.0082 0.6079 0.3094
Rb4 0.6002 0.3298 0.4823

=====

Entry 6:
K2Rb8In | GGA-PBE | optimized geometry

Calculated values
Its density of states at the Fermi level is 0.82 states/eV per atom. The value obtained for the formation enthalpy at 0 K is 30 meV per atom. The symmetry is C2/m, No. 12. Its raw total energy is -1.123 eV/atom. As for the total magnetic moment: 0.29 Bohr magnetons per cell.

a = 7.3459 Å, b = 9.3610 Å, c = 12.9255 Å
α = 96.51°, β = 106.51°, γ = 90.00°
Each line ends with the local moment (μB).
Fractional positions:
Rb1 0.9769 0.2174 0.9538  0.00
Rb2 0.4181 0.6180 0.8363  0.00
Rb3 0.5819 0.3820 0.1637  0.00
Rb4 0.7811 0.3497 0.5621  0.00
In1 0.5000 0.0000 0.0000  0.06
Rb5 0.6447 0.8905 0.2894  0.00
Rb6 0.3553 0.1095 0.7106  0.00
Rb7 0.0231 0.7826 0.0462  0.00
K1 0.8374 0.8351 0.6748  0.00
K2 0.1626 0.1649 0.3252  0.00
Rb8 0.2189 0.6503 0.4379  0.00

=====

Entry 7:
KRbIn3 | GGA-PBE | optimized geometry

Calculated values
Its density of states at the Fermi level is 1.02 states/eV per atom. The value obtained for the formation enthalpy at 0 K is 505 meV per atom. As for the offset from the most stable computed form: 0.0000 eV/atom. The symmetry is Pm-3m, No. 221. Its raw total energy is -1.551 eV/atom. As for the total magnetic moment: 0.00 Bohr magnetons per cell.

a = 6.3107 Å, b = 6.3107 Å, c = 6.3107 Å
α = 90.00°, β = 90.00°, γ = 90.00°
Fractional positions:
In1 0.0000 0.5000 0.0000
In2 0.5000 0.0000 0.0000
In3 0.0000 0.0000 0.5000
Rb1 0.5000 0.5000 0.5000
K1 0.0000 0.0000 0.0000

=====

Entry 8:
KRb2In | GGA-PBE | optimized geometry

Calculated values
Its density of states at the Fermi level is 0.88 states/eV per atom. The value obtained for the formation enthalpy at 0 K is 68 meV per atom. The symmetry is P4/mmm, No. 123. Its raw total energy is -1.375 eV/atom. As for the total magnetic moment: 0.09 Bohr magnetons per cell.

a = 4.6024 Å, b = 4.6024 Å, c = 11.2981 Å
α = 90.00°, β = 90.00°, γ = 90.00°
Fractional positions:
Rb1 0.0000 0.0000 0.1909
Rb2 0.0000 0.0000 0.8091
In1 0.5000 0.5000 0.0000
K1 0.5000 0.5000 0.5000

=====

Entry 9:
K7Rb12In | GGA-PBE | optimized geometry

Calculated values
Its density of states at the Fermi level is 0.89 states/eV per atom. The value obtained for the formation enthalpy at 0 K is 22 meV per atom. The symmetry is R-3, No. 148. Its raw total energy is -1.080 eV/atom. As for the total magnetic moment: 0.00 Bohr magnetons per cell.

a = 15.0237 Å, b = 12.0569 Å, c = 12.0569 Å
α = 76.04°, β = 65.46°, γ = 114.54°
Fractional positions:
K1 0.3000 0.3774 0.6319
Rb1 0.2351 0.7423 0.5223
Rb2 0.3129 0.2362 0.0103
Rb3 0.7649 0.2577 0.4777
K2 0.7000 0.6226 0.3681
Rb4 0.7574 0.5223 0.7353
Rb5 0.3233 0.0103 0.7535
K3 0.9320 0.6319 0.9907
Rb6 0.6871 0.7638 0.9897
Rb7 0.6767 0.9897 0.2465
Rb8 0.5072 0.2647 0.2577
K4 0.0773 0.0093 0.6226
K5 0.9227 0.9907 0.3774
In1 0.0000 0.0000 0.0000
Rb9 0.4928 0.7353 0.7423
Rb10 0.9232 0.2465 0.7638
Rb11 0.0768 0.7535 0.2362
K6 0.5000 0.0000 0.0000
Rb12 0.2426 0.4777 0.2647
K7 0.0680 0.3681 0.0093

=====

Entry 10:
KRb2In | GGA-PBE | optimized geometry

Calculated values
Its density of states at the Fermi level is 0.85 states/eV per atom. The value obtained for the formation enthalpy at 0 K is 93 meV per atom. The symmetry is P4/mmm, No. 123. Its raw total energy is -1.350 eV/atom. As for the total magnetic moment: 0.00 Bohr magnetons per cell.

a = 6.0121 Å, b = 6.0876 Å, c = 6.0876 Å
α = 90.00°, β = 90.00°, γ = 90.00°
Fractional positions:
K1 0.5000 0.5000 0.5000
In1 0.5000 0.0000 0.0000
Rb1 0.0000 0.0000 0.5000
Rb2 0.0000 0.5000 0.0000

=====

Entry 11:
K11Rb17In | GGA-PBE | optimized geometry

Calculated values
Its density of states at the Fermi level is 0.82 states/eV per atom. The value obtained for the formation enthalpy at 0 K is 15 meV per atom. The symmetry is Cm, No. 8. Its raw total energy is -1.063 eV/atom. As for the total magnetic moment: 0.00 Bohr magnetons per cell.

a = 14.5891 Å, b = 14.5891 Å, c = 14.0978 Å
α = 109.07°, β = 109.07°, γ = 109.61°
Fractional positions:
Rb1 0.9996 0.9996 0.3480
Rb2 0.5664 0.3312 0.0258
In1 0.4474 0.4474 0.2507
Rb3 0.9688 0.3656 0.9800
Rb4 0.7235 0.4168 0.4029
Rb5 0.6179 0.6179 0.6089
K1 0.2156 0.2156 0.9510
K2 0.0169 0.8337 0.6524
K3 0.1994 0.3714 0.3036
Rb6 0.6965 0.6965 0.3007
K4 0.0041 0.6204 0.8128
K5 0.8337 0.0169 0.6524
K6 0.8318 0.1962 0.1927
Rb7 0.6055 0.0036 0.3187
K7 0.3714 0.1994 0.3036
Rb8 0.4168 0.7235 0.4029
K8 0.6204 0.0041 0.8128
K9 0.1962 0.8318 0.1927
Rb9 0.3656 0.9688 0.9800
Rb10 0.0007 0.3083 0.6006
Rb11 0.6505 0.2653 0.6579
K10 0.6137 0.7973 0.9870
Rb12 0.9586 0.9586 0.9810
Rb13 0.2653 0.6505 0.6579
Rb14 0.3732 0.3732 0.6907
K11 0.7973 0.6137 0.9870
Rb15 0.3083 0.0007 0.6006
Rb16 0.3312 0.5664 0.0258
Rb17 0.0036 0.6055 0.3187

=====

Entry 12:
K5Rb12In2 | GGA-PBE | optimized geometry

Calculated values
Its density of states at the Fermi level is 0.80 states/eV per atom. The value obtained for the formation enthalpy at 0 K is 23 meV per atom. The symmetry is C2/m, No. 12. Its raw total energy is -1.166 eV/atom. As for the total magnetic moment: 0.00 Bohr magnetons per cell.

a = 9.4934 Å, b = 12.7061 Å, c = 13.0502 Å
α = 94.02°, β = 111.33°, γ = 90.00°
Fractional positions:
Rb1 0.8913 0.9164 0.2845
Rb2 0.5929 0.4609 0.6884
K1 0.6969 0.2193 0.3937
Rb3 0.6068 0.0836 0.7155
K2 0.2137 0.2335 0.4274
Rb4 0.4071 0.5391 0.3116
K3 0.3031 0.7807 0.6063
Rb5 0.5100 0.2886 0.0201
Rb6 0.0955 0.4609 0.6884
Rb7 0.0310 0.1644 0.0621
Rb8 0.1087 0.0836 0.7155
Rb9 0.9045 0.5391 0.3116
K4 0.7863 0.7665 0.5726
K5 0.0000 0.5000 0.0000
Rb10 0.3932 0.9164 0.2845
Rb11 0.4900 0.7114 0.9799
Rb12 0.9690 0.8356 0.9379
In1 0.3496 0.0000 0.0000
In2 0.6504 0.0000 0.0000

=====

Entry 13:
KRbIn | GGA-PBE | optimized geometry

Calculated values
Its density of states at the Fermi level is 0.85 states/eV per atom. The value obtained for the formation enthalpy at 0 K is 138 meV per atom. As for the offset from the most stable computed form: 0.1870 eV/atom. The symmetry is P3m1, No. 156. Its raw total energy is -1.464 eV/atom. As for the total magnetic moment: 0.00 Bohr magnetons per cell.

a = 4.3486 Å, b = 4.3486 Å, c = 9.8869 Å
α = 90.00°, β = 90.00°, γ = 120.00°
Fractional positions:
K1 0.6667 0.3333 0.2808
Rb1 0.3333 0.6667 0.7134
In1 0.0000 0.0000 0.0058

=====

Entry 14:
KRb4In | GGA-PBE | optimized geometry

Calculated values
Its density of states at the Fermi level is 0.68 states/eV per atom. The value obtained for the formation enthalpy at 0 K is 18 meV per atom. The symmetry is C2/m, No. 12. Its raw total energy is -1.266 eV/atom. As for the total magnetic moment: 0.00 Bohr magnetons per cell.

a = 7.0224 Å, b = 7.8980 Å, c = 16.7780 Å
α = 84.69°, β = 77.99°, γ = 63.60°
Fractional positions:
Rb1 0.1864 0.3287 0.2961
Rb2 0.3392 0.3216 0.0000
In1 0.2501 0.4999 0.5000
Rb3 0.5151 0.6713 0.2961
In2 0.7499 0.5001 0.5000
Rb4 0.8136 0.6713 0.7039
K1 0.0713 0.0000 0.8590
Rb5 0.7856 0.0000 0.4279
K2 0.9287 0.0000 0.1410
Rb6 0.6608 0.6784 0.0000
Rb7 0.4849 0.3287 0.7039
Rb8 0.2144 0.0000 0.5721

=====

Entry 15:
K12Rb3In | GGA-PBE | optimized geometry

Calculated values
Its density of states at the Fermi level is 0.79 states/eV per atom. The value obtained for the formation enthalpy at 0 K is 18 meV per atom. The symmetry is P4/mmm, No. 123. Its raw total energy is -1.158 eV/atom. As for the total magnetic moment: 0.00 Bohr magnetons per cell.

a = 6.6058 Å, b = 6.6058 Å, c = 25.1852 Å
α = 90.00°, β = 90.00°, γ = 90.00°
Fractional positions:
K1 0.5000 0.5000 0.7697
K2 0.0000 0.5000 0.6363
Rb1 0.0000 0.0000 0.7745
Rb2 0.0000 0.0000 0.5000
Rb3 0.0000 0.0000 0.2255
K3 0.5000 0.0000 0.9071
K4 0.0000 0.5000 0.0929
K5 0.5000 0.5000 0.5000
K6 0.5000 0.5000 0.2303
K7 0.5000 0.0000 0.3637
K8 0.0000 0.5000 0.3637
K9 0.5000 0.0000 0.6363
K10 0.5000 0.5000 0.0000
In1 0.0000 0.0000 0.0000
K11 0.5000 0.0000 0.0929
K12 0.0000 0.5000 0.9071

=====

Entry 16:
K17Rb11In | GGA-PBE | optimized geometry

Calculated values
Its density of states at the Fermi level is 0.80 states/eV per atom. The value obtained for the formation enthalpy at 0 K is 22 meV per atom. The symmetry is Cm, No. 8. Its raw total energy is -1.083 eV/atom. As for the total magnetic moment: 0.00 Bohr magnetons per cell.

a = 14.4188 Å, b = 14.4188 Å, c = 13.6370 Å
α = 108.33°, β = 108.33°, γ = 110.08°
Fractional positions:
Rb1 0.2150 0.2150 0.9434
K1 0.5628 0.3319 0.0357
Rb2 0.3749 0.1957 0.3100
K2 0.0041 0.5965 0.3235
Rb3 0.6008 0.7898 0.9880
Rb4 0.0233 0.8342 0.6406
K3 0.6151 0.6151 0.6070
Rb5 0.8342 0.0233 0.6406
Rb6 0.7898 0.6008 0.9880
K4 0.3159 0.0142 0.5960
K5 0.4254 0.7197 0.4039
K6 0.9662 0.3672 0.9765
K7 0.6941 0.6941 0.2992
Rb7 0.1957 0.3749 0.3100
K8 0.6576 0.2739 0.6563
K9 0.3672 0.9662 0.9765
K10 0.2739 0.6576 0.6563
Rb8 0.0103 0.6118 0.8027
K11 0.3319 0.5628 0.0357
K12 0.3713 0.3713 0.6971
K13 0.9520 0.9520 0.9790
In1 0.4584 0.4584 0.2585
Rb9 0.8208 0.1983 0.1987
K14 0.7197 0.4254 0.4039
K15 0.5965 0.0041 0.3235
K16 0.9991 0.9991 0.3521
Rb10 0.1983 0.8208 0.1987
K17 0.0142 0.3159 0.5960
Rb11 0.6118 0.0103 0.8027

=====

Entry 17:
KRbIn | GGA-PBE | optimized geometry

Calculated values
Its density of states at the Fermi level is 1.00 states/eV per atom. The value obtained for the formation enthalpy at 0 K is 67 meV per atom. As for the offset from the most stable computed form: 0.1168 eV/atom. The symmetry is I4mm, No. 107. Its raw total energy is -1.534 eV/atom. As for the total magnetic moment: 0.00 Bohr magnetons per cell.

a = 4.3735 Å, b = 4.3735 Å, c = 8.7421 Å
α = 104.49°, β = 104.49°, γ = 90.00°
Fractional positions:
In1 0.6719 0.6719 0.3437
K1 0.2990 0.2990 0.5980
Rb1 0.0291 0.0291 0.0583

=====

Entry 18:
K14RbIn | GGA-PBE | optimized geometry

Calculated values
Its density of states at the Fermi level is 0.78 states/eV per atom. The value obtained for the formation enthalpy at 0 K is 25 meV per atom. The symmetry is Amm2, No. 38. Its raw total energy is -1.167 eV/atom. As for the total magnetic moment: 0.00 Bohr magnetons per cell.

a = 8.7591 Å, b = 9.5627 Å, c = 14.5429 Å
α = 90.00°, β = 90.00°, γ = 117.26°
Fractional positions:
K1 0.8199 0.1546 0.7382
K2 0.8199 0.1546 0.2618
K3 0.3347 0.1546 0.2618
K4 0.6868 0.8605 0.0000
K5 0.3311 0.6622 0.2366
K6 0.7975 0.5949 0.3108
K7 0.6802 0.8894 0.5000
K8 0.1722 0.3444 0.0000
In1 0.6342 0.2685 0.5000
K9 0.1737 0.8605 0.0000
K10 0.3347 0.1546 0.7382
Rb1 0.1900 0.3801 0.5000
K11 0.3311 0.6622 0.7634
K12 0.6873 0.3746 0.0000
K13 0.7975 0.5949 0.6892
K14 0.2092 0.8894 0.5000

=====

Entry 19:
KRb2In | GGA-PBE | optimized geometry

Calculated values
Its density of states at the Fermi level is 0.78 states/eV per atom. The value obtained for the formation enthalpy at 0 K is 170 meV per atom. The symmetry is I-42d, No. 122. Its raw total energy is -1.273 eV/atom. As for the total magnetic moment: 0.00 Bohr magnetons per cell.

a = 5.7672 Å, b = 5.7672 Å, c = 14.6563 Å
α = 78.65°, β = 78.65°, γ = 90.00°
Fractional positions:
Rb1 0.8750 0.8949 0.7500
K1 0.5000 0.5000 0.0000
In1 0.7500 0.2500 0.5000
K2 0.2500 0.7500 0.5000
Rb2 0.3750 0.3551 0.7500
Rb3 0.1051 0.6250 0.2500
Rb4 0.6449 0.1250 0.2500
In2 0.0000 0.0000 0.0000